Here is HgTe2Rh after structural relaxation from Alexandria via LeMat-Bulk. Energies are from GGA-PBE.

## Properties
The value obtained for the total magnetic moment is 0.0 μB per cell. The uncorrected formation energy is -0.07 eV per atom.

a b c (Å): 6.4264 6.4264 12.1832
angles (deg): 90.00 90.00 90.00
Last column: nearest neighbours and their distance in Å.
Space group I-42d (No. 122)
Asymmetric unit:
Hg 0.0000 0.0000 0.0000 x4  4 Te 2.95
Te 0.1971 0.2500 0.6250 x8  2 Rh 2.55
Rh 0.0000 0.0000 0.5000 x4  4 Te 2.55

=====

Here is CaCd4O5 after structural relaxation from Alexandria via LeMat-Bulk. Energies are from GGA-PBE.

## Properties
The value obtained for the total magnetic moment is 0.0 μB per cell. The uncorrected formation energy is -1.41 eV per atom.

a b c (Å): 3.3943 3.3943 23.8882
angles (deg): 90.00 90.00 90.00
Last column: nearest neighbours and their distance in Å.
Space group I4/mmm (No. 139)
Asymmetric unit:
Ca 0.0000 0.0000 0.0000 x2  6 O 2.40
Cd 0.0000 0.0000 0.2000 x4  6 O 2.38-2.40
Cd 0.0000 0.0000 0.3991 x4  6 O 2.37-2.41
O 0.0000 0.0000 0.1005 x4  5 Cd 2.38-2.40, 1 Ca 2.40
O 0.0000 0.0000 0.2998 x4  6 Cd 2.37-2.40
O 0.0000 0.0000 0.5000 x2  4 Ca 2.40, 2 Cd 2.41

=====

Here is NiAgSe2 after structural relaxation from Alexandria via LeMat-Bulk. Energies are from GGA-PBE.

## Properties
The value obtained for the total magnetic moment is 0.0 μB per cell. The uncorrected formation energy is -0.11 eV per atom.

a b c (Å): 7.5098 3.5361 12.5992
angles (deg): 90.00 90.00 90.00
Last column: nearest neighbours and their distance in Å.
Space group Pnma (No. 62)
Asymmetric unit:
Ni 0.0116 0.2500 0.1124 x4  5 Se 2.34-2.45
Ag 0.0084 0.2500 0.6054 x4  2 Se 2.61
Se 0.1707 0.2500 0.9427 x4  3 Ni 2.34-2.45, 1 Ag 2.61
Se 0.1731 0.7500 0.1892 x4  2 Ni 2.35, 1 Ag 2.61